## Mn2SiClO (PBE with a Hubbard U)

Data for a relaxed Mn2SiClO crystal.

The density of states at the Fermi level is 1.8 states/eV/cell. For the total energy, the calculation gives -5.498 eV per atom.

The space group is P4/mmm (No. 123) and the conventional cell measures 5.090, 5.090 and 3.490 Å, with angles of 90.00, 90.00 and 90.00 degrees. Symmetry generates all atoms from Mn at (0.000, 0.500, 0.000), Si at (0.000, 0.000, 0.500), Cl at (0.500, 0.500, 0.500) and O at (0.000, 0.000, 0.000).